Record 1
The following is a DFT calculation (GGA-PBE) of crystalline Cd2AsW at its relaxed geometry.

Lattice parameters (Å, degrees): 3.2560 4.4521 5.1469 90.00 90.00 90.00
Last column: nearest neighbours and their distance in Å.
Fractional coordinates of all 4 atoms:
1 Cd 0.0000 0.0000 0.0000  4 Cd 2.76, 4 W 3.05
2 Cd 0.5000 0.5000 0.0000  4 Cd 2.76, 4 As 3.05
3 As 0.0000 0.5000 0.5000  4 W 2.76, 4 Cd 3.05
4 W 0.5000 0.0000 0.5000  4 As 2.76, 4 Cd 3.05

Crystal system = orthorhombic
Total energy = -16.8 eV/f.u.

Record 2
The following is a DFT calculation (GGA-PBE) of crystalline KBa3I at its relaxed geometry.

Lattice parameters (Å, degrees): 6.8599 6.8599 6.8599 90.00 90.00 90.00
Last column: nearest neighbours and their distance in Å.
Fractional coordinates of all 5 atoms:
1 K 0.0000 0.0000 0.0000  12 Ba 4.85
2 Ba 0.0000 0.5000 0.5000  2 I 3.43
3 Ba 0.5000 0.0000 0.5000  2 I 3.43
4 Ba 0.5000 0.5000 0.0000  2 I 3.43
5 I 0.5000 0.5000 0.5000  6 Ba 3.43

Crystal system = cubic
Total energy = -10.0 eV/f.u.
Formation energy (no corrections) = -0.317 eV per atom

Number 1 is which compound?
Cd2AsW